An optimized crystal structure of NaPu4TaN8, computed with PBE-GGA.

Geometry as extended XYZ:
```
14
Lattice="3.461 1.998 4.956 -3.461 1.998 4.956 0.000 -3.996 4.956" Properties=species:S:1:pos:R:3 pbc="T T T"
Na 0.000 0.000 0.000
Pu -1.692 -0.977 12.274
Pu 0.000 0.000 8.727
Pu 1.692 -0.977 12.274
Pu 0.000 1.954 12.274
Ta 0.000 0.000 5.538
N -1.899 -1.096 8.421
N 0.000 0.000 3.537
N 0.000 -1.810 6.347
N -1.567 0.905 6.347
N 1.567 0.905 6.347
N 1.899 -1.096 8.421
N 0.000 2.193 8.421
N 0.000 0.000 11.148
```

Properties
raw total energy	-149.47	eV/cell
formation energy without anion corrections	-884	meV/atom
V	14.7	Å³ per atom
magnetic moment	14.0	μB/f.u.